1 | VASP calculation (SCAN) on Co2IrRh at its PBEsol-relaxed geometry.

```
Co2IrRh
1.0
2.6120 0.0000 0.0000
-1.3060 4.2116 -0.0024
0.0000 -0.8052 4.4586
Rh Ir Co
1 1 2
direct
0.5000 0.0000 0.0000 Rh
0.0000 0.0000 0.5000 Ir
0.7488 0.4976 0.7473 Co
0.2512 0.5024 0.2527 Co
```

Properties
As for the space group: C2/m.

***

2 | VASP calculation (SCAN) on Co2IrRh at its PBEsol-relaxed geometry.

```
Co2IrRh
1.0
3.6854 0.0000 0.0000
0.0000 3.6854 0.0000
-1.8427 -1.8427 3.5290
Rh Ir Co
1 1 2
direct
0.0000 0.0000 0.0000 Rh
0.5000 0.5000 0.0000 Ir
0.7500 0.2500 0.5000 Co
0.2500 0.7500 0.5000 Co
```

Properties
As for the space group: I4/mmm.

***

What should be chosen as the most stable of them? Choose 1.

***

1 | VASP calculation (SCAN) on Co2IrRh at its PBEsol-relaxed geometry.

```
Co2IrRh
1.0
2.6158 0.0000 0.0000
0.0000 3.6183 0.0000
0.0000 0.0000 5.1224
Rh Ir Co
1 1 2
direct
0.5000 0.5000 0.7593 Rh
0.0000 0.0000 0.4893 Ir
0.0000 0.0000 0.0083 Co
0.5000 0.5000 0.2432 Co
```

Properties
As for the space group: Pmm2.

***

2 | VASP calculation (SCAN) on Co2IrRh at its PBEsol-relaxed geometry.

```
Co2IrRh
1.0
4.1140 0.0000 0.0000
2.0570 3.5628 0.0000
2.0570 1.1876 3.3591
Co Ir Rh
2 1 1
direct
0.2500 0.2500 0.2500 Co
0.7500 0.7500 0.7500 Co
0.0000 0.0000 0.0000 Ir
0.5000 0.5000 0.5000 Rh
```

Properties
As for the space group: Fm-3m.

***

3 | VASP calculation (SCAN) on Co2IrRh at its PBEsol-relaxed geometry.

```
Co2IrRh
1.0
2.6071 0.0000 0.0000
0.0000 3.9121 0.0000
-1.3036 0.0000 4.7585
Rh Ir Co
1 1 2
direct
0.4233 0.5000 0.8466 Rh
0.0785 0.0000 0.1571 Ir
0.8147 0.0000 0.6294 Co
0.6852 0.5000 0.3705 Co
```

Properties
As for the space group: Amm2.

***

4 | VASP calculation (SCAN) on Co2IrRh at its PBEsol-relaxed geometry.

```
Co2IrRh
1.0
3.5306 0.0000 0.0000
0.0000 3.6847 0.0000
0.0000 0.0000 3.6847
Rh Ir Co
1 1 2
direct
0.5000 0.0000 0.0000 Rh
0.5000 0.5000 0.5000 Ir
0.0000 0.0000 0.5000 Co
0.0000 0.5000 0.0000 Co
```

Properties
As for the space group: P4/mmm.

***

What should be chosen as the most stable of them? Choose 2.